Entry 1:
Material: Rb6Hg3F14
Method: DFT, PBE
State: relaxed

The structure belongs to space group P3 (No. 143); the cell edges are 9.8793, 9.8793 and 6.3975 Å and the angles 90.00°, 90.00° and 120.00°. The inequivalent atoms are Rb at (0.0465, 0.7789, 0.0000), Rb at (0.4584, 0.0376, 0.4708), Hg at (0.0000, 0.0000, 0.4610), Hg at (0.3333, 0.6667, 0.8378), Hg at (0.6667, 0.3333, 0.9231), F at (0.0000, 0.0000, 0.7962), F at (0.1310, 0.5320, 0.0284), F at (0.2045, 0.7385, 0.6420), F at (0.2090, 0.0404, 0.2739), F at (0.4494, 0.2628, 0.7391) and F at (0.6667, 0.3333, 0.2592).

Its density of states at the Fermi level is 14.92 states/eV per cell. The value obtained for the total energy is -3.457 eV per atom.

Entry 2:
Material: RbHgF3
Method: DFT, PBE
State: relaxed

The structure belongs to space group P4mm (No. 99); the cell edges are 3.9857, 3.9857 and 6.8358 Å and the angles 90.00°, 90.00° and 90.00°. The inequivalent atoms are Rb at (0.0000, 0.0000, 0.0000), Hg at (0.5000, 0.5000, 0.4345), F at (0.0000, 0.0000, 0.6142) and F at (0.0000, 0.5000, 0.2632).

Its density of states at the Fermi level is 0.00 states/eV per cell. The value obtained for the total energy is -3.062 eV per atom.

Entry 3:
Material: RbHgF3
Method: DFT, PBE
State: relaxed

The structure belongs to space group Cmcm (No. 63); the cell edges are 6.3676, 16.9718 and 5.2860 Å and the angles 90.00°, 90.00° and 90.00°. The inequivalent atoms are Rb at (0.0000, 0.1818, 0.2500), Hg at (0.0000, 0.3965, 0.2500), F at (0.0000, 0.5000, 0.0000) and F at (0.2370, 0.1854, 0.7500).

Its density of states at the Fermi level is 0.00 states/eV per cell. The value obtained for the total energy is -3.208 eV per atom.

Entry 4:
Material: Rb5Hg2F12
Method: DFT, PBE
State: relaxed

The structure belongs to space group C2/m (No. 12); the cell edges are 12.8982, 8.9952 and 7.3828 Å and the angles 90.00°, 115.40° and 90.00°. The inequivalent atoms are Rb at (0.0000, 0.0000, 0.0000), Rb at (0.1839, 0.5000, 0.9917), Rb at (0.2426, 0.5000, 0.4999), Hg at (0.0000, 0.2193, 0.5000), F at (0.0100, 0.5000, 0.3738), F at (0.0764, 0.2187, 0.2948), F at (0.0945, 0.0000, 0.6972) and F at (0.1792, 0.2836, 0.7221).

For the energy above the most stable polymorph in this dataset, the calculation gives 0.048 eV per atom. Its density of states at the Fermi level is 6.36 states/eV per cell. The value obtained for the total energy is -3.362 eV per atom.